DFT (PBE-GGA) results for RbTl2F6 after structural relaxation.

Structure (POSCAR):
```
RbTl2F6
1.0
6.2761 0.0000 0.0000
-3.1380 5.4353 0.0000
0.0000 0.0000 5.6594
Rb Tl F
1 2 6
Direct
0.0000 0.0000 0.0000
0.3333 0.6667 0.5000
0.6667 0.3333 0.5000
0.6228 0.0000 0.2904
0.3772 0.3772 0.2904
0.0000 0.6228 0.2904
0.6228 0.6228 0.7096
0.0000 0.3772 0.7096
0.3772 0.0000 0.7096
```

## Properties
- Spin magnetization: 0.000 μB/atom
- Density: 5.23 Mg/m³
- Total energy: -35.22 eV per cell

DFT (PBE-GGA) results for BaSc2Cu after structural relaxation.

Structure (POSCAR):
```
BaSc2Cu
1.0
7.8834 1.1481 -0.0979
5.1090 6.1126 0.0979
-6.0517 -4.4257 2.6954
Ba Cu Sc
1 1 2
Direct
0.4303 0.4303 0.0000
0.2357 0.7357 0.5000
0.0989 0.0989 0.0000
0.7351 0.2351 0.5000
```

## Properties
- Energy above the most stable polymorph in this dataset: 144.6 meV/atom
- Spin magnetization: 0.000 μB/atom
- E_form: 1.0 eV/f.u.
- Density: 4.18 Mg/m³

DFT (PBE-GGA) results for Ba2AlTlAu after structural relaxation.

Structure (POSCAR):
```
Ba2AlTlAu
1.0
-6.0579 1.1707 1.6083
-1.9891 -3.5027 -4.9426
-0.0183 -3.9733 2.8231
Tl Au Ba Al
1 1 2 1
Direct
0.5000 0.5000 0.5000
0.0000 0.0000 0.0000
0.0000 0.5000 0.0000
0.5000 0.0000 0.0000
0.0000 0.0000 0.5000
```

## Properties
- Spin magnetization: 0.000 μB/atom
- E_form: -1.6 eV/f.u.
- Density: 5.89 Mg/m³

DFT (PBE-GGA) results for K4Cl3 after structural relaxation.

Structure (POSCAR):
```
K4Cl3
1.0
4.4250 0.0000 0.8906
2.1229 3.8825 0.8906
-0.7890 -0.4678 15.3577
K Cl
4 3
Direct
0.3738 0.3738 0.8785
0.1224 0.1224 0.6328
0.8776 0.8776 0.3672
0.6262 0.6262 0.1215
0.7478 0.7478 0.7565
0.2522 0.2522 0.2435
0.0000 0.0000 0.0000
```

## Properties
- Spin magnetization: 0.000 μB/atom
- Density: 1.63 Mg/m³
- Total energy: -21.50 eV per cell

DFT (PBE-GGA) results for PrPaCS2 after structural relaxation.

Structure (POSCAR):
```
PrPaCS2
1.0
-3.5017 0.3897 -1.7641
0.7591 -3.1740 -2.2081
-5.9970 -8.4211 10.0431
Pr Pa C S
2 2 2 4
Direct
0.5000 0.0000 0.1256
0.0000 0.5000 0.8744
0.5000 0.0000 0.5842
0.0000 0.5000 0.4158
0.0000 0.0000 0.5000
0.5000 0.5000 0.5000
0.0000 0.5000 0.6858
0.0000 0.5000 0.0906
0.5000 0.0000 0.9094
0.5000 0.0000 0.3142
```

## Properties
- Spin magnetization: 0.000 μB/atom
- Density: 6.65 Mg/m³
- Total energy: -76.90 eV per cell

DFT (PBE-GGA) results for Hg2PtBr after structural relaxation.

Structure (POSCAR):
```
Hg2PtBr
1.0
5.1908 -0.0730 -0.0357
-1.9525 4.8102 -0.0357
0.0238 0.0347 3.5017
Pt Hg Br
1 2 1
Direct
0.5000 0.0000 0.5000
0.0000 0.0000 0.0000
0.5000 0.5000 0.0000
0.0000 0.5000 0.5000
```

## Properties
- Energy above the most stable polymorph in this dataset: 273.8 meV/atom
- Spin magnetization: 0.000 μB/atom
- Density: 12.91 Mg/m³

DFT (PBE-GGA) results for LiY2Sn2 after structural relaxation.

Structure (POSCAR):
```
LiY2Sn2
1.0
-1.1653 -4.4489 -4.3333
0.7872 -4.6062 4.5174
-6.0912 4.8181 1.2986
Li Y Sn
2 4 4
Direct
0.7500 0.5000 0.0000
0.2500 0.5000 0.0000
0.8602 0.6433 0.7204
0.1398 0.3567 0.2796
0.6398 0.9230 0.2796
0.3602 0.0770 0.7204
0.3828 0.6210 0.7656
0.6172 0.3790 0.2344
0.1172 0.8554 0.2344
0.8828 0.1446 0.7656
```

## Properties
- Energy above the most stable polymorph in this dataset: 82.6 meV/atom
- Spin magnetization: 0.000 μB/atom
- E_form: -2.8 eV/f.u.
- Density: 5.30 Mg/m³

DFT (PBE-GGA) results for Cs2CaTcAs after structural relaxation.

Structure (POSCAR):
```
Cs2CaTcAs
1.0
-5.2148 1.5025 -1.4153
-2.0756 -4.5832 2.7822
-0.4012 3.0345 4.6996
Cs As Ca Tc
2 1 1 1
Direct
0.0000 0.0000 0.5000
0.5000 0.0000 0.0000
0.5000 0.5000 0.5000
0.0000 0.5000 0.0000
0.0000 0.0000 0.0000
```

## Properties
- Spin magnetization: 0.334 μB/atom
- E_form: 4.9 eV/f.u.
- Density: 4.40 Mg/m³

DFT (PBE-GGA) results for Zn3CuAu2 after structural relaxation.

Structure (POSCAR):
```
Zn3CuAu2
1.0
3.5344 0.0000 0.0000
0.0000 4.1570 0.0000
0.0000 0.0000 12.5039
Zn Cu Au
6 2 4
Direct
0.4991 0.5000 0.6586
0.4990 0.0000 0.5000
0.4991 0.5000 0.3414
0.5009 0.0000 0.1586
0.5010 0.5000 0.0000
0.5009 0.0000 0.8414
0.9990 0.5000 0.5000
0.0010 0.0000 0.0000
0.9989 0.0000 0.6629
0.9989 0.0000 0.3371
0.0011 0.5000 0.1629
0.0011 0.5000 0.8371
```

## Properties
- Energy above the most stable polymorph in this dataset: 0.0 meV/atom
- Spin magnetization: 0.000 μB/atom
- E_form: -1.0 eV/f.u.
- Density: 11.82 Mg/m³

DFT (PBE-GGA) results for TaZn6 after structural relaxation.

Structure (POSCAR):
```
TaZn6
1.0
-1.0316 1.7254 5.3625
-0.9791 -5.6272 -0.4164
5.4599 1.0920 -1.3397
Ta Zn
1 6
Direct
0.0000 0.0000 0.0000
0.2500 0.7500 0.5000
0.5000 0.7500 0.2500
0.2500 0.5000 0.7500
0.7500 0.2500 0.5000
0.5000 0.2500 0.7500
0.7500 0.5000 0.2500
```

## Properties
- Spin magnetization: 0.241 μB/atom
- E_form: 7.4 eV/f.u.
- Density: 6.59 Mg/m³

DFT (PBE-GGA) results for TbPmTlGa after structural relaxation.

Structure (POSCAR):
```
TbPmTlGa
1.0
3.6732 0.0000 0.0000
0.0000 3.6732 0.0000
0.0000 0.0000 7.7443
Tb Pm Tl Ga
1 1 1 1
Direct
0.5000 0.5000 0.5900
0.5000 0.5000 0.1243
0.0000 0.0000 0.8496
0.0000 0.0000 0.3641
```

## Properties
- Energy above the most stable polymorph in this dataset: 0.0 meV/atom
- Spin magnetization: 0.000 μB/atom
- E_form: -1.9 eV/f.u.
- Density: 9.19 Mg/m³

DFT (PBE-GGA) results for Li5CdHg after structural relaxation.

Structure (POSCAR):
```
Li5CdHg
1.0
-2.1061 -3.3508 -2.5541
2.7125 0.5558 -3.8106
4.0674 -4.2868 2.2701
Li Cd Hg
5 1 1
Direct
0.5000 0.0000 0.2438
0.0000 0.5000 0.2438
0.0000 0.0000 0.5000
0.0000 0.5000 0.7562
0.5000 0.0000 0.7562
0.0000 0.0000 0.0000
0.5000 0.5000 0.5000
```

## Properties
- Energy above the most stable polymorph in this dataset: 2.7 meV/atom
- Spin magnetization: 0.000 μB/atom
- E_form: -1.1 eV/f.u.
- Density: 4.13 Mg/m³